Record 1
Computed, not measured: an optimized crystal structure of TbSm3Rh at the PBE level of DFT.

Calculated values
- total moment (μB/cell) = 0.0
- space group = Cm
- ΔH_f (0 K) (eV per atom) = -0.3534
- distance to the lowest polymorph of the same formula (eV/atom) = 0.000
- uncorrected energy (hartree per atom) = -0.2051

```
TbSm3Rh
1.0
-1.9209 1.2108 3.0613
-1.2628 -5.1072 3.6004
9.9229 2.1020 7.7677
Tb Sm Rh
2 6 2
Cartesian
1.8927 -1.8054 4.2745
-1.1209 -2.5589 2.6816
-0.5308 -4.0348 6.0084
5.1202 -1.0843 10.7601
5.8310 0.5522 5.8132
6.9869 2.5558 10.4916
2.3276 1.5248 5.6030
3.4837 -1.5676 7.5516
-0.6627 -0.4391 4.5034
6.5398 0.3823 8.6980
```



Record 2
Computed, not measured: an optimized crystal structure of Y2CrCd at the PBE level of DFT.

Calculated values
- total moment (μB/cell) = 3.4
- space group = Pmmm
- ΔH_f (0 K) (eV per atom) = 0.0124
- uncorrected energy (hartree per atom) = -0.2151

```
Y2CrCd
1.0
3.5898 0.0000 0.0000
0.0000 3.6449 0.0006
0.0000 3.6450 7.5671
Cd Cr Y
1 1 2
Cartesian
1.7949 1.8225 1.8919
1.7949 5.4674 5.6758
0.0000 3.6449 7.4196
0.0000 3.6450 3.9314
```



Copy entry 2 word for word.
Computed, not measured: an optimized crystal structure of Y2CrCd at the PBE level of DFT.

Calculated values
- total moment (μB/cell) = 3.4
- space group = Pmmm
- ΔH_f (0 K) (eV per atom) = 0.0124
- uncorrected energy (hartree per atom) = -0.2151

```
Y2CrCd
1.0
3.5898 0.0000 0.0000
0.0000 3.6449 0.0006
0.0000 3.6450 7.5671
Cd Cr Y
1 1 2
Cartesian
1.7949 1.8225 1.8919
1.7949 5.4674 5.6758
0.0000 3.6449 7.4196
0.0000 3.6450 3.9314
```



Repeat the second record exactly.
Computed, not measured: an optimized crystal structure of Y2CrCd at the PBE level of DFT.

Calculated values
- total moment (μB/cell) = 3.4
- space group = Pmmm
- ΔH_f (0 K) (eV per atom) = 0.0124
- uncorrected energy (hartree per atom) = -0.2151

```
Y2CrCd
1.0
3.5898 0.0000 0.0000
0.0000 3.6449 0.0006
0.0000 3.6450 7.5671
Cd Cr Y
1 1 2
Cartesian
1.7949 1.8225 1.8919
1.7949 5.4674 5.6758
0.0000 3.6449 7.4196
0.0000 3.6450 3.9314
```